1.
Y7Mg2Ag2 | PBE | optimized geometry

Structure (CIF):
```
data_Y7Mg2Ag2
_chemical_formula_sum 'Y7 Mg2 Ag2'
_cell_length_a 6.931
_cell_length_b 6.931
_cell_length_c 7.501
_cell_angle_alpha 90.00
_cell_angle_beta 90.00
_cell_angle_gamma 109.61
_space_group_name_H-M_alt 'P 1'
_space_group_IT_number 1
loop_
_space_group_symop_operation_xyz
'x,y,z'
loop_
_atom_site_label
_atom_site_type_symbol
_atom_site_fract_x
_atom_site_fract_y
_atom_site_fract_z
Y1 Y 0.000 0.000 0.000
Y2 Y 0.000 0.500 0.271
Y3 Y 0.000 0.500 0.729
Y4 Y 0.500 0.000 0.271
Y5 Y 0.500 0.000 0.729
Y6 Y 0.500 0.500 0.252
Y7 Y 0.500 0.500 0.748
Mg1 Mg 0.172 0.172 0.500
Mg2 Mg 0.828 0.828 0.500
Ag1 Ag 0.295 0.705 0.000
Ag2 Ag 0.705 0.295 0.000
```

2.
YMg2Ag | PBE | optimized geometry

Structure (CIF):
```
data_YMg2Ag
_chemical_formula_sum 'Y1 Mg2 Ag1'
_cell_length_a 3.450
_cell_length_b 3.450
_cell_length_c 7.868
_cell_angle_alpha 90.00
_cell_angle_beta 90.00
_cell_angle_gamma 90.00
_space_group_name_H-M_alt 'P 1'
_space_group_IT_number 1
loop_
_space_group_symop_operation_xyz
'x,y,z'
loop_
_atom_site_label
_atom_site_type_symbol
_atom_site_fract_x
_atom_site_fract_y
_atom_site_fract_z
Y1 Y 0.000 0.000 0.000
Mg1 Mg 0.000 0.000 0.445
Mg2 Mg 0.500 0.500 0.700
Ag1 Ag 0.500 0.500 0.250
```

3.
YMg2Ag | PBE | optimized geometry

Structure (CIF):
```
data_YMg2Ag
_chemical_formula_sum 'Y2 Mg4 Ag2'
_cell_length_a 11.376
_cell_length_b 11.376
_cell_length_c 11.376
_cell_angle_alpha 158.21
_cell_angle_beta 158.21
_cell_angle_gamma 31.01
_space_group_name_H-M_alt 'P 1'
_space_group_IT_number 1
loop_
_space_group_symop_operation_xyz
'x,y,z'
loop_
_atom_site_label
_atom_site_type_symbol
_atom_site_fract_x
_atom_site_fract_y
_atom_site_fract_z
Y1 Y 0.000 0.000 0.000
Y2 Y 0.750 0.250 0.500
Mg1 Mg 0.147 0.625 0.022
Mg2 Mg 0.375 0.397 0.522
Mg3 Mg 0.603 0.125 0.978
Mg4 Mg 0.875 0.853 0.478
Ag1 Ag 0.250 0.750 0.500
Ag2 Ag 0.500 0.500 0.000
```

4.
YMg2Ag3 | PBE | optimized geometry

Structure (CIF):
```
data_YMg2Ag3
_chemical_formula_sum 'Y1 Mg2 Ag3'
_cell_length_a 3.421
_cell_length_b 3.421
_cell_length_c 10.504
_cell_angle_alpha 90.00
_cell_angle_beta 90.00
_cell_angle_gamma 90.00
_space_group_name_H-M_alt 'P 1'
_space_group_IT_number 1
loop_
_space_group_symop_operation_xyz
'x,y,z'
loop_
_atom_site_label
_atom_site_type_symbol
_atom_site_fract_x
_atom_site_fract_y
_atom_site_fract_z
Y1 Y 0.000 0.000 0.000
Mg1 Mg 0.000 0.000 0.343
Mg2 Mg 0.000 0.000 0.657
Ag1 Ag 0.500 0.500 0.192
Ag2 Ag 0.500 0.500 0.500
Ag3 Ag 0.500 0.500 0.808
```

5.
Y2MgAg4 | PBE | optimized geometry

Structure (CIF):
```
data_Y2MgAg4
_chemical_formula_sum 'Y2 Mg1 Ag4'
_cell_length_a 9.299
_cell_length_b 9.299
_cell_length_c 9.299
_cell_angle_alpha 29.19
_cell_angle_beta 29.19
_cell_angle_gamma 29.19
_space_group_name_H-M_alt 'P 1'
_space_group_IT_number 1
loop_
_space_group_symop_operation_xyz
'x,y,z'
loop_
_atom_site_label
_atom_site_type_symbol
_atom_site_fract_x
_atom_site_fract_y
_atom_site_fract_z
Y1 Y 0.249 0.249 0.249
Y2 Y 0.751 0.751 0.751
Mg1 Mg 0.000 0.000 0.000
Ag1 Ag 0.136 0.136 0.136
Ag2 Ag 0.362 0.362 0.362
Ag3 Ag 0.638 0.638 0.638
Ag4 Ag 0.864 0.864 0.864
```

6.
# Y2MgAg2, optimized geometry, DFT PBE
data_Y2MgAg2
_chemical_formula_sum 'Y4 Mg2 Ag4'
_cell_length_a 7.936
_cell_length_b 7.936
_cell_length_c 3.919
_cell_angle_alpha 90.00
_cell_angle_beta 90.00
_cell_angle_gamma 90.00
_space_group_name_H-M_alt 'P 1'
_space_group_IT_number 1
loop_
_space_group_symop_operation_xyz
'x,y,z'
loop_
_atom_site_label
_atom_site_type_symbol
_atom_site_fract_x
_atom_site_fract_y
_atom_site_fract_z
Y1 Y 0.169 0.331 0.000
Y2 Y 0.331 0.831 0.000
Y3 Y 0.669 0.169 0.000
Y4 Y 0.831 0.669 0.000
Mg1 Mg 0.000 0.000 0.500
Mg2 Mg 0.500 0.500 0.500
Ag1 Ag 0.130 0.630 0.500
Ag2 Ag 0.370 0.130 0.500
Ag3 Ag 0.630 0.870 0.500
Ag4 Ag 0.870 0.370 0.500
# E above lowest polymorph: 0 meV per atom

7.
# Y3MgAg, optimized geometry, DFT PBE
data_Y3MgAg
_chemical_formula_sum 'Y3 Mg1 Ag1'
_cell_length_a 5.559
_cell_length_b 5.559
_cell_length_c 5.559
_cell_angle_alpha 90.00
_cell_angle_beta 90.00
_cell_angle_gamma 90.00
_space_group_name_H-M_alt 'P 1'
_space_group_IT_number 1
loop_
_space_group_symop_operation_xyz
'x,y,z'
loop_
_atom_site_label
_atom_site_type_symbol
_atom_site_fract_x
_atom_site_fract_y
_atom_site_fract_z
Y1 Y 0.000 0.000 0.500
Y2 Y 0.000 0.500 0.000
Y3 Y 0.500 0.000 0.000
Mg1 Mg 0.500 0.500 0.500
Ag1 Ag 0.000 0.000 0.000
# E above lowest polymorph: 409 meV per atom

8.
YMg11Ag | PBE | optimized geometry

Structure (CIF):
```
data_YMg11Ag
_chemical_formula_sum 'Y1 Mg11 Ag1'
_cell_length_a 7.747
_cell_length_b 7.747
_cell_length_c 7.696
_cell_angle_alpha 97.76
_cell_angle_beta 97.76
_cell_angle_gamma 136.13
_space_group_name_H-M_alt 'P 1'
_space_group_IT_number 1
loop_
_space_group_symop_operation_xyz
'x,y,z'
loop_
_atom_site_label
_atom_site_type_symbol
_atom_site_fract_x
_atom_site_fract_y
_atom_site_fract_z
Y1 Y 0.000 0.000 0.000
Mg1 Mg 0.000 0.000 0.500
Mg2 Mg 0.000 0.500 0.000
Mg3 Mg 0.009 0.354 0.355
Mg4 Mg 0.297 0.504 0.786
Mg5 Mg 0.354 0.009 0.355
Mg6 Mg 0.496 0.703 0.214
Mg7 Mg 0.500 0.000 0.000
Mg8 Mg 0.504 0.297 0.786
Mg9 Mg 0.646 0.991 0.645
Mg10 Mg 0.703 0.496 0.214
Mg11 Mg 0.991 0.646 0.645
Ag1 Ag 0.500 0.500 0.500
```

9.
YMg6Ag4 | PBE | optimized geometry

Structure (CIF):
```
data_YMg6Ag4
_chemical_formula_sum 'Y1 Mg6 Ag4'
_cell_length_a 8.822
_cell_length_b 8.822
_cell_length_c 3.525
_cell_angle_alpha 90.00
_cell_angle_beta 90.00
_cell_angle_gamma 120.00
_space_group_name_H-M_alt 'P 1'
_space_group_IT_number 1
loop_
_space_group_symop_operation_xyz
'x,y,z'
loop_
_atom_site_label
_atom_site_type_symbol
_atom_site_fract_x
_atom_site_fract_y
_atom_site_fract_z
Y1 Y 0.000 0.000 0.000
Mg1 Mg 0.069 0.534 0.000
Mg2 Mg 0.387 0.193 0.500
Mg3 Mg 0.466 0.534 0.000
Mg4 Mg 0.466 0.931 0.000
Mg5 Mg 0.807 0.193 0.500
Mg6 Mg 0.807 0.613 0.500
Ag1 Ag 0.172 0.344 0.500
Ag2 Ag 0.172 0.828 0.500
Ag3 Ag 0.656 0.828 0.500
Ag4 Ag 0.667 0.333 0.000
```

10.
# Y2MgAg2, optimized geometry, DFT PBE
data_Y2MgAg2
_chemical_formula_sum 'Y2 Mg1 Ag2'
_cell_length_a 5.747
_cell_length_b 5.747
_cell_length_c 5.747
_cell_angle_alpha 120.38
_cell_angle_beta 120.38
_cell_angle_gamma 89.34
_space_group_name_H-M_alt 'P 1'
_space_group_IT_number 1
loop_
_space_group_symop_operation_xyz
'x,y,z'
loop_
_atom_site_label
_atom_site_type_symbol
_atom_site_fract_x
_atom_site_fract_y
_atom_site_fract_z
Y1 Y 0.250 0.750 0.500
Y2 Y 0.750 0.250 0.500
Mg1 Mg 0.000 0.000 0.000
Ag1 Ag 0.343 0.343 0.000
Ag2 Ag 0.657 0.657 0.000
# E above lowest polymorph: 239 meV per atom

11.
# Y4MgAg, optimized geometry, DFT PBE
data_Y4MgAg
_chemical_formula_sum 'Y4 Mg1 Ag1'
_cell_length_a 5.076
_cell_length_b 5.076
_cell_length_c 7.453
_cell_angle_alpha 90.00
_cell_angle_beta 90.00
_cell_angle_gamma 90.00
_space_group_name_H-M_alt 'P 1'
_space_group_IT_number 1
loop_
_space_group_symop_operation_xyz
'x,y,z'
loop_
_atom_site_label
_atom_site_type_symbol
_atom_site_fract_x
_atom_site_fract_y
_atom_site_fract_z
Y1 Y 0.000 0.500 0.234
Y2 Y 0.000 0.500 0.766
Y3 Y 0.500 0.000 0.234
Y4 Y 0.500 0.000 0.766
Mg1 Mg 0.000 0.000 0.500
Ag1 Ag 0.500 0.500 0.000
# E above lowest polymorph: 0 meV per atom

12.
Y3Mg2Ag3 | PBE | optimized geometry

Structure (CIF):
```
data_Y3Mg2Ag3
_chemical_formula_sum 'Y3 Mg2 Ag3'
_cell_length_a 10.801
_cell_length_b 10.801
_cell_length_c 10.801
_cell_angle_alpha 161.03
_cell_angle_beta 152.07
_cell_angle_gamma 33.98
_space_group_name_H-M_alt 'P 1'
_space_group_IT_number 1
loop_
_space_group_symop_operation_xyz
'x,y,z'
loop_
_atom_site_label
_atom_site_type_symbol
_atom_site_fract_x
_atom_site_fract_y
_atom_site_fract_z
Y1 Y 0.000 0.000 0.000
Y2 Y 0.376 0.876 0.500
Y3 Y 0.624 0.124 0.500
Mg1 Mg 0.235 0.235 0.000
Mg2 Mg 0.765 0.765 0.000
Ag1 Ag 0.126 0.626 0.500
Ag2 Ag 0.500 0.500 0.000
Ag3 Ag 0.874 0.374 0.500
```

| no. | calculated total energy (hartree per atom) | formation energy (meV/atom) |
| --- | --- | --- |
| 1 | -0.1765 | 118 |
| 2 | -0.1208 | -161 |
| 3 | -0.1114 | 94 |
| 4 | -0.1209 | -256 |
| 5 | -0.1402 | -111 |
| 6 | -0.1590 | -282 |
| 7 | -0.1649 | 280 |
| 8 | -0.0783 | -65 |
| 9 | -0.0984 | -182 |
| 10 | -0.1502 | -43 |
| 11 | -0.1779 | 210 |
| 12 | -0.1517 | -235 |